A plane-wave DFT calculation with PBE was carried out for an optimized crystal structure of ErTlB4.

raw total energy = -5.576 eV per atom
total magnetic moment = 0.00 μB/cell
offset from the most stable computed form = 0.0000 eV/atom

The structure in POSCAR format:
```
ErTlB4
1.0
-1.6061 2.6634 4.2037
1.6061 -2.6634 4.2037
1.6061 2.6634 -4.2037
Er Tl B
1 1 4
direct
0.0000 0.0000 0.0000
0.5000 0.5000 0.0000
0.0629 0.7375 0.3253
0.4122 0.7375 0.6747
0.5878 0.2625 0.3253
0.9371 0.2625 0.6747
```